[1]
A plane-wave DFT calculation with PBE-GGA was carried out for a relaxed Pm4PPbS2 crystal.

Values from the calculation:
* crystal system: monoclinic
* D(E_F): 0.33 states/eV/atom
* DFT total energy: -6.048 eV/atom
* uncorrected formation energy: -12.01 eV per formula unit

POSCAR file:
```
Pm4PPbS2
1.0
7.253 0.000 0.000
0.000 4.173 0.000
-2.442 0.000 6.922
Pm P Pb S
4 1 1 2
Direct
0.236 0.000 0.230
0.249 0.500 0.762
0.751 0.500 0.238
0.764 0.000 0.770
0.500 0.000 0.000
0.500 0.500 0.500
0.000 0.000 0.500
0.000 0.500 0.000
```

[2]
A plane-wave DFT calculation with PBE-GGA was carried out for a relaxed Dy3In4 crystal.

Values from the calculation:
* energy relative to the elements: -308 meV per atom
* crystal system: trigonal
* D(E_F): 0.66 states/eV/atom
* DFT total energy: -3.846 eV/atom

POSCAR file:
```
Dy3In4
1.0
2.599 1.500 8.622
-2.599 1.500 8.622
0.000 -3.001 8.622
Dy In
3 4
Direct
0.000 0.000 0.000
0.247 0.247 0.247
0.753 0.753 0.753
0.127 0.127 0.127
0.380 0.380 0.380
0.620 0.620 0.620
0.873 0.873 0.873
```

[3]
A plane-wave DFT calculation with PBE-GGA was carried out for a relaxed HoThMgZn crystal.

Values from the calculation:
* energy relative to the elements: -84 meV per atom
* crystal system: cubic
* D(E_F): 0.88 states/eV/atom
* DFT total energy: -3.801 eV/atom

POSCAR file:
```
HoThMgZn
1.0
0.000 3.704 3.704
3.704 0.000 3.704
3.704 3.704 0.000
Ho Th Mg Zn
1 1 1 1
Direct
0.000 0.000 0.000
0.500 0.500 0.500
0.750 0.750 0.750
0.250 0.250 0.250
```

[4]
A plane-wave DFT calculation with PBE-GGA was carried out for a relaxed Zn2PbAu3 crystal.

Values from the calculation:
* E above lowest polymorph: 0.00 eV/f.u.
* energy relative to the elements: -125 meV per atom
* crystal system: hexagonal
* D(E_F): 0.28 states/eV/atom
* DFT total energy: -2.807 eV/atom

POSCAR file:
```
Zn2PbAu3
1.0
5.757 0.000 0.000
-2.879 4.986 0.000
0.000 0.000 8.432
Zn Pb Au
4 2 6
Direct
0.333 0.667 0.000
0.333 0.667 0.500
0.667 0.333 0.000
0.667 0.333 0.500
0.000 0.000 0.000
0.000 0.000 0.500
0.000 0.499 0.250
0.000 0.501 0.750
0.499 0.000 0.250
0.499 0.499 0.750
0.501 0.000 0.750
0.501 0.501 0.250
```

[5]
A plane-wave DFT calculation with PBE-GGA was carried out for a relaxed Sr2MgTcN4 crystal.

Values from the calculation:
* crystal system: orthorhombic
* D(E_F): 0.27 states/eV/atom
* DFT total energy: -6.718 eV/atom
* uncorrected formation energy: -5.12 eV per formula unit

POSCAR file:
```
Sr2MgTcN4
1.0
5.887 0.000 0.000
0.000 7.201 0.000
0.000 0.000 6.168
Sr Mg Tc N
4 2 2 8
Direct
0.250 0.002 0.231
0.250 0.498 0.231
0.750 0.502 0.769
0.750 0.998 0.769
0.250 0.250 0.782
0.750 0.750 0.218
0.250 0.750 0.792
0.750 0.250 0.208
0.004 0.750 0.985
0.250 0.528 0.644
0.250 0.972 0.644
0.496 0.750 0.985
0.504 0.250 0.015
0.750 0.028 0.356
0.750 0.472 0.356
0.996 0.250 0.015
```

[6]
A plane-wave DFT calculation with PBE-GGA was carried out for a relaxed SnHgPd2 crystal.

Values from the calculation:
* E above lowest polymorph: 0.00 eV/f.u.
* energy relative to the elements: -309 meV per atom
* crystal system: tetragonal
* D(E_F): 0.31 states/eV/atom
* DFT total energy: -3.981 eV/atom

POSCAR file:
```
SnHgPd2
1.0
3.307 0.000 0.000
0.000 3.307 0.000
0.000 0.000 6.761
Sn Hg Pd
1 1 2
Direct
0.000 0.000 0.000
0.000 0.000 0.500
0.500 0.500 0.234
0.500 0.500 0.766
```